Entry from the Open Quantum Materials Database: a relaxed structure of GdScGa2Pt4 (PBE).

Properties
electronic total energy	-49.5	eV per formula unit

Unit cell a=4.3477 b=4.3477 c=8.9677 alpha=90.00 beta=90.00 gamma=120.00
Space group P-6m2 (No. 187)
One atom of each set of equivalent atoms:
Gd 0.0000 0.0000 0.0000 (multiplicity 1)
Sc 0.6667 0.3333 0.5000 (multiplicity 1)
Ga 0.3333 0.6667 0.2572 (multiplicity 2)
Pt 0.0000 0.0000 0.3451 (multiplicity 2)
Pt 0.6667 0.3333 0.1737 (multiplicity 2)


Entry from the Open Quantum Materials Database: a relaxed structure of Ba2NiIrS6 (PBE).

Properties
electronic total energy	-50.3	eV per formula unit

Unit cell a=9.469 b=9.469 c=9.469 alpha=90.00 beta=90.00 gamma=90.00
Space group Fm-3m (No. 225)
One atom of each set of equivalent atoms:
Ba 0.250 0.250 0.250 (multiplicity 8)
Ni 0.000 0.000 0.000 (multiplicity 4)
Ir 0.000 0.000 0.500 (multiplicity 4)
S 0.000 0.000 0.247 (multiplicity 24)


Entry from the Open Quantum Materials Database: a relaxed structure of Li2GaTe4Ir (PBE).

Properties
electronic total energy	-30.7	eV per formula unit

Unit cell a=6.342 b=6.342 c=11.821 alpha=90.00 beta=90.00 gamma=90.00
Space group I-4 (No. 82)
One atom of each set of equivalent atoms:
Li 0.000 0.000 0.000 (multiplicity 2)
Li 0.000 0.500 0.250 (multiplicity 2)
Ga 0.000 0.500 0.750 (multiplicity 2)
Te 0.232 0.243 0.620 (multiplicity 8)
Ir 0.000 0.000 0.500 (multiplicity 2)


Entry from the Open Quantum Materials Database: a relaxed structure of Nd3AgHg3PdPt (PBE).

Properties
E_form	-15.4	kcal/mol of atoms

Unit cell a=7.9509 b=7.9509 c=3.8990 alpha=90.00 beta=90.00 gamma=120.00
Space group P-6 (No. 174)
One atom of each set of equivalent atoms:
Nd 0.0793 0.3409 0.0000 (multiplicity 3)
Ag 0.6667 0.3333 0.0000 (multiplicity 1)
Hg 0.3955 0.3258 0.5000 (multiplicity 3)
Pd 0.0000 0.0000 0.5000 (multiplicity 1)
Pt 0.3333 0.6667 0.5000 (multiplicity 1)


Entry from the Open Quantum Materials Database: a relaxed structure of NdNi2Sn (PBE).

Properties
electronic total energy	-18.4	eV per formula unit

Unit cell a=4.996 b=22.362 c=2.970 alpha=90.00 beta=90.00 gamma=90.00
Space group Cmmm (No. 65)
One atom of each set of equivalent atoms:
Nd 0.000 0.077 0.000 (multiplicity 4)
Ni 0.000 0.334 0.000 (multiplicity 4)
Ni 0.000 0.447 0.000 (multiplicity 4)
Sn 0.000 0.214 0.000 (multiplicity 4)


Entry from the Open Quantum Materials Database: a relaxed structure of Na2MgTcO6 (PBE).

Properties
ΔE to the lowest computed polymorph	90.2	meV/atom

Unit cell a=10.316 b=10.244 c=5.099 alpha=90.00 beta=117.83 gamma=90.00
Space group C2/c (No. 15)
One atom of each set of equivalent atoms:
Na 0.185 0.097 0.425 (multiplicity 8)
Mg 0.000 0.426 0.250 (multiplicity 4)
Tc 0.000 0.290 0.750 (multiplicity 4)
O 0.071 0.102 0.751 (multiplicity 8)
O 0.112 0.285 0.157 (multiplicity 8)
O 0.119 0.423 0.699 (multiplicity 8)